8
Lattice="-1.927 -4.824 2.944 0.224 -5.433 -2.702 3.898 -3.173 3.407" Properties=species:S:1:pos:R:3 comment="SCAN Hf2TePd, single point on PBEsol structure" spacegroup="No. 122" dos_at_fermi_per_ev_atom=0.78 magmom_total_mub_per_atom=0.00 formation_energy_uncorrected_mev_per_atom=-333 pbc="T T T"
Hf 2.237 -10.164 4.488
Hf -0.524 -4.473 -0.104
Hf 0.886 -4.690 3.491
Hf 1.790 -7.534 -0.578
Te 0.616 -7.921 2.560
Te 0.000 0.000 0.000
Pd 1.579 -5.509 1.089
Pd -0.964 -2.412 1.472